(1)
First-principles (PBE) data for a relaxed Tb3AgAu crystal, as listed in Alexandria via LeMat-Bulk.

Unit cell a=5.100 b=5.102 c=10.204 alpha=90.00 beta=75.53 gamma=90.00
Fractional positions:
Tb1 0.759 0.250 0.131
Tb2 0.388 0.250 0.872
Tb3 0.574 0.250 0.501
Tb4 0.260 0.750 0.128
Tb5 0.890 0.750 0.869
Tb6 0.075 0.750 0.499
Ag1 0.481 0.750 0.686
Ag2 0.167 0.250 0.314
Au1 0.664 0.750 0.321
Au2 0.985 0.250 0.679

Computed properties:
Energy   -4.46 eV per atom
Crystal system   orthorhombic
Offset from the most stable computed form   0 meV per atom
SG   Cmcm, No. 63
E_form   -0.45 eV/atom

(2)
First-principles (PBE) data for a relaxed CaGa2Pd4 crystal, as listed in Alexandria via LeMat-Bulk.

Unit cell a=4.935 b=4.935 c=7.278 alpha=70.18 beta=70.18 gamma=90.00
Fractional positions:
Ca1 0.000 0.000 0.000
Ga1 0.401 0.401 0.199
Ga2 0.599 0.599 0.801
Pd1 0.214 0.214 0.571
Pd2 0.786 0.786 0.429
Pd3 0.000 0.500 0.000
Pd4 0.500 0.000 0.000

Computed properties:
Energy   -3.85 eV per atom
Crystal system   tetragonal
Offset from the most stable computed form   961 meV per atom
SG   I4/mmm, No. 139
E_form   0.27 eV/atom

(3)
First-principles (PBE) data for a relaxed Li3NdY2Te6 crystal, as listed in Alexandria via LeMat-Bulk.

Unit cell a=7.595 b=7.595 c=7.514 alpha=99.71 beta=99.71 gamma=120.00
Fractional positions:
Li1 0.166 0.834 0.500
Li2 0.834 0.166 0.500
Li3 0.500 0.500 0.500
Nd1 0.000 0.000 0.000
Y1 0.333 0.667 0.000
Y2 0.667 0.333 0.000
Te1 0.914 0.573 0.742
Te2 0.745 0.745 0.258
Te3 0.086 0.427 0.258
Te4 0.573 0.914 0.742
Te5 0.255 0.255 0.742
Te6 0.427 0.086 0.258

Computed properties:
Energy   -4.83 eV per atom
Crystal system   monoclinic
SG   C2/m, No. 12

(4)
First-principles (PBE) data for a relaxed Sr2Ga3SnPt4 crystal, as listed in Alexandria via LeMat-Bulk.

Unit cell a=4.544 b=4.544 c=10.254 alpha=90.00 beta=90.00 gamma=90.00
Fractional positions:
Sr1 0.500 0.000 0.239
Sr2 0.000 0.500 0.761
Ga1 0.000 0.000 0.500
Ga2 0.500 0.000 0.882
Ga3 0.000 0.500 0.118
Sn1 0.500 0.500 0.500
Pt1 0.500 0.500 0.000
Pt2 0.000 0.000 0.000
Pt3 0.500 0.000 0.636
Pt4 0.000 0.500 0.364

Computed properties:
Energy   -4.91 eV per atom
Crystal system   tetragonal
SG   P-4m2, No. 115
E_form   -0.85 eV/atom

(5)
First-principles (PBE) data for a relaxed BeIr2O crystal, as listed in Alexandria via LeMat-Bulk.

Unit cell a=3.977 b=3.977 c=3.977 alpha=60.00 beta=60.00 gamma=60.00
Fractional positions:
Be1 0.000 0.000 0.000
Ir1 0.250 0.250 0.250
Ir2 0.750 0.750 0.750
O1 0.500 0.500 0.500

Computed properties:
Energy   -6.21 eV per atom
Crystal system   cubic
Offset from the most stable computed form   0 meV per atom
SG   Fm-3m, No. 225

(6)
First-principles (PBE) data for a relaxed Tl3CdPd7 crystal, as listed in Alexandria via LeMat-Bulk.

Unit cell a=5.433 b=7.307 c=7.307 alpha=83.62 beta=119.63 gamma=119.63
Fractional positions:
Tl1 0.000 0.775 0.225
Tl2 0.500 0.000 0.000
Tl3 0.000 0.225 0.775
Cd1 0.500 0.500 0.500
Pd1 0.364 0.202 0.202
Pd2 0.335 0.078 0.582
Pd3 0.665 0.418 0.922
Pd4 0.335 0.582 0.078
Pd5 0.000 0.500 0.500
Pd6 0.665 0.922 0.418
Pd7 0.636 0.798 0.798

Computed properties:
Energy   -4.08 eV per atom
Crystal system   monoclinic
SG   C2/m, No. 12
E_form   -0.05 eV/atom

(7)
First-principles (PBE) data for a relaxed Ca2TcSb crystal, as listed in Alexandria via LeMat-Bulk.

Unit cell a=3.264 b=3.264 c=9.175 alpha=90.00 beta=90.00 gamma=90.18
Last column: magnetic moment on the atom in μB.
Fractional positions:
Sb1 0.500 0.500 0.250  0.00
Ca1 0.000 0.000 0.976  -0.01
Ca2 0.000 0.000 0.524  -0.01
Tc1 0.500 0.500 0.750  1.20

Computed properties:
Energy   -4.52 eV per atom
Crystal system   orthorhombic
SG   Cmmm, No. 65

(8)
First-principles (PBE) data for a relaxed Fe2ReBr crystal, as listed in Alexandria via LeMat-Bulk.

Unit cell a=8.230 b=8.230 c=8.230 alpha=20.53 beta=20.53 gamma=20.53
Last column: magnetic moment on the atom in μB.
Fractional positions:
Br1 0.750 0.750 0.750  0.09
Fe1 0.997 0.997 0.997  2.37
Fe2 0.503 0.503 0.503  2.37
Re1 0.250 0.250 0.250  -0.07

Computed properties:
Energy   -7.20 eV per atom
Crystal system   trigonal
Offset from the most stable computed form   12 meV per atom
SG   R-3m, No. 166

(9)
First-principles (PBE) data for a relaxed SrCaSe crystal, as listed in Alexandria via LeMat-Bulk.

Unit cell a=4.242 b=4.242 c=7.073 alpha=90.00 beta=90.00 gamma=120.00
Fractional positions:
Sr1 0.333 0.667 0.598
Ca1 0.000 0.000 0.083
Se1 0.667 0.333 0.320

Computed properties:
Energy   -3.64 eV per atom
Crystal system   trigonal
Offset from the most stable computed form   25 meV per atom
SG   P3m1, No. 156

(10)
First-principles (PBE) data for a relaxed LuScCdOs crystal, as listed in Alexandria via LeMat-Bulk.

Unit cell a=4.826 b=4.826 c=4.826 alpha=60.00 beta=60.00 gamma=60.00
Fractional positions:
Sc1 0.000 0.000 0.000
Lu1 0.500 0.500 0.500
Os1 0.250 0.250 0.250
Cd1 0.750 0.750 0.750

Computed properties:
Energy   -6.05 eV per atom
Crystal system   cubic
SG   F-43m, No. 216
E_form   -0.30 eV/atom

(11)
First-principles (PBE) data for a relaxed PrSm2Ag crystal, as listed in Alexandria via LeMat-Bulk.

Unit cell a=3.656 b=3.656 c=10.934 alpha=80.38 beta=80.38 gamma=60.00
Fractional positions:
Pr1 0.500 0.500 0.500
Ag1 0.000 0.000 0.000
Sm1 0.260 0.260 0.220
Sm2 0.740 0.740 0.780

Computed properties:
Energy   -4.28 eV per atom
Crystal system   trigonal
Offset from the most stable computed form   107 meV per atom
SG   R-3m, No. 166
E_form   -0.01 eV/atom

(12)
First-principles (PBE) data for a relaxed ErS2 crystal, as listed in Alexandria via LeMat-Bulk.

Unit cell a=5.038 b=6.908 c=7.347 alpha=90.00 beta=90.00 gamma=90.00
Fractional positions:
Er1 0.250 0.755 0.950
Er2 0.750 0.755 0.550
Er3 0.250 0.245 0.450
Er4 0.750 0.245 0.050
S1 0.250 0.893 0.604
S2 0.750 0.893 0.896
S3 0.000 0.562 0.250
S4 0.500 0.562 0.250
S5 0.500 0.438 0.750
S6 0.000 0.438 0.750
S7 0.250 0.107 0.104
S8 0.750 0.107 0.396

Computed properties:
Energy   -5.93 eV per atom
Crystal system   orthorhombic
SG   Pbcm, No. 57

(13)
First-principles (PBE) data for a relaxed LaZrAl2Ge crystal, as listed in Alexandria via LeMat-Bulk.

Unit cell a=5.235 b=5.429 c=5.235 alpha=90.00 beta=90.00 gamma=90.00
Fractional positions:
Ge1 0.500 0.500 0.500
Al1 0.000 0.000 0.500
Al2 0.500 0.000 0.000
Zr1 0.000 0.000 0.000
La1 0.000 0.500 0.000

Computed properties:
Energy   -4.39 eV per atom
Crystal system   tetragonal
Offset from the most stable computed form   718 meV per atom
SG   P4/mmm, No. 123
E_form   0.72 eV/atom

(14)
First-principles (PBE) data for a relaxed Pm12GeIr6 crystal, as listed in Alexandria via LeMat-Bulk.

Unit cell a=8.450 b=8.450 c=8.450 alpha=100.90 beta=100.90 gamma=100.90
Fractional positions:
Pm1 0.824 0.577 0.423
Pm2 0.423 0.824 0.577
Pm3 0.577 0.423 0.824
Pm4 0.176 0.423 0.577
Pm5 0.577 0.176 0.423
Pm6 0.423 0.577 0.176
Pm7 0.072 0.931 0.329
Pm8 0.069 0.671 0.928
Pm9 0.671 0.928 0.069
Pm10 0.928 0.069 0.671
Pm11 0.931 0.329 0.072
Pm12 0.329 0.072 0.931
Ge1 0.000 0.000 0.000
Ir1 0.695 0.862 0.387
Ir2 0.613 0.305 0.138
Ir3 0.138 0.613 0.305
Ir4 0.305 0.138 0.613
Ir5 0.387 0.695 0.862
Ir6 0.862 0.387 0.695

Computed properties:
Energy   -6.58 eV per atom
Crystal system   trigonal
SG   R-3, No. 148
E_form   -0.54 eV/atom

(15)
First-principles (PBE) data for a relaxed AcLaCeDy crystal, as listed in Alexandria via LeMat-Bulk.

Unit cell a=5.911 b=5.911 c=5.911 alpha=60.00 beta=60.00 gamma=60.00
Last column: magnetic moment on the atom in μB.
Fractional positions:
Ac1 0.250 0.250 0.250  0.17
La1 0.750 0.750 0.750  0.28
Ce1 0.500 0.500 0.500  1.12
Dy1 0.000 0.000 0.000  0.32

Computed properties:
Energy   -4.68 eV per atom
Crystal system   cubic
SG   F-43m, No. 216
E_form   0.21 eV/atom

(16)
First-principles (PBE) data for a relaxed LaTmMgGa crystal, as listed in Alexandria via LeMat-Bulk.

Unit cell a=5.283 b=5.283 c=5.283 alpha=60.00 beta=60.00 gamma=60.00
Fractional positions:
Mg1 0.750 0.750 0.750
Tm1 0.000 0.000 0.000
Ga1 0.250 0.250 0.250
La1 0.500 0.500 0.500

Computed properties:
Energy   -3.83 eV per atom
Crystal system   cubic
SG   F-43m, No. 216
E_form   -0.32 eV/atom

(17)
First-principles (PBE) data for a relaxed K2ScMn crystal, as listed in Alexandria via LeMat-Bulk.

Unit cell a=3.427 b=6.292 c=6.457 alpha=90.00 beta=90.00 gamma=90.00
Last column: magnetic moment on the atom in μB.
Fractional positions:
K1 0.000 0.000 0.007  -0.01
K2 0.000 0.000 0.493  -0.01
Mn1 0.500 0.500 0.250  4.12
Sc1 0.500 0.500 0.750  -0.73

Computed properties:
Energy   -3.47 eV per atom
Crystal system   orthorhombic
Offset from the most stable computed form   447 meV per atom
SG   Pmmm, No. 47
E_form   0.95 eV/atom

(18)
First-principles (PBE) data for a relaxed AlNiIr2 crystal, as listed in Alexandria via LeMat-Bulk.

Unit cell a=2.734 b=2.734 c=8.393 alpha=90.00 beta=90.00 gamma=117.57
Last column: magnetic moment on the atom in μB.
Fractional positions:
Ni1 0.500 0.500 0.250  0.41
Ir1 0.000 0.000 0.994  0.04
Ir2 0.000 0.000 0.506  0.04
Al1 0.500 0.500 0.750  0.00

Computed properties:
Energy   -6.94 eV per atom
Crystal system   orthorhombic
SG   Cmmm, No. 65
E_form   -0.12 eV/atom

(19)
First-principles (PBE) data for a relaxed Os2BrCl crystal, as listed in Alexandria via LeMat-Bulk.

Unit cell a=2.967 b=3.666 c=5.940 alpha=90.00 beta=90.00 gamma=90.00
Fractional positions:
Os1 0.000 0.000 0.013
Os2 0.000 0.000 0.487
Br1 0.500 0.500 0.250
Cl1 0.500 0.500 0.750

Computed properties:
Energy   -4.65 eV per atom
Crystal system   orthorhombic
Offset from the most stable computed form   1589 meV per atom
SG   Pmmm, No. 47

(20)
First-principles (PBE) data for a relaxed PuPaTe3 crystal, as listed in Alexandria via LeMat-Bulk.

Unit cell a=4.290 b=8.283 c=9.437 alpha=89.29 beta=90.00 gamma=105.01
Last column: magnetic moment on the atom in μB.
Fractional positions:
Pu1 0.607 0.213 0.431  5.38
Pu2 0.394 0.787 0.568  -5.37
Pa1 0.809 0.618 0.139  0.94
Pa2 0.191 0.382 0.862  0.93
Te1 0.965 0.931 0.323  -0.01
Te2 0.035 0.069 0.676  -0.02
Te3 0.381 0.762 0.939  -0.03
Te4 0.619 0.238 0.062  -0.04
Te5 0.241 0.483 0.340  -0.04
Te6 0.759 0.517 0.660  0.00

Computed properties:
Energy   -7.52 eV per atom
Crystal system   monoclinic
Offset from the most stable computed form   85 meV per atom
SG   Cm, No. 8